Computed, not measured: a geometry-optimized Tm2IrRu structure at the GGA-PBE level of DFT.

Lattice parameters (Å, degrees): 3.355 4.763 4.763 90.00 90.00 90.00
Sites, in units of the cell vectors:
Ir 0.500 0.500 0.500
Ru 0.500 0.000 0.000
Tm 0.000 0.000 0.500
Tm 0.000 0.500 0.000

## Properties
DFT total energy, eV/atom: -7.47
Space group: P4/mmm, No. 123
Theoretical density, Mg/m³: 13.77
Total magnetic moment, Bohr magnetons per cell: 0.000
Formation enthalpy at 0 K, eV per formula unit: -2.81